No. 1
# Sc4NCl6

A crystal of Sc4NCl6 relaxed with PBEsol (meta-GGA SCAN, the Alexandria database).

abc: 11.5102 11.8947 3.4402
angles: 90.00 90.00 90.00
Closest atoms and distances in Å follow each position.
Space group Pbam (No. 55)
Symmetry-distinct sites (fractional):
Sc: 0.0984 0.0810 0.0000  2 N 2.27, 2 Cl 2.53-2.54
Sc: 0.1237 0.8593 0.5000  1 N 2.20
N: 0.0000 0.0000 0.5000  6 Sc 2.20-2.27
Cl: 0.0216 0.7404 0.0000  3 Sc 2.52-2.53
Cl: 0.2275 0.1847 0.5000  3 Sc 2.59-2.69
Cl: 0.2387 0.4373 0.0000  3 Sc 2.52-2.54

---

No. 2
# ScTa2NCl

A crystal of ScTa2NCl relaxed with PBEsol (meta-GGA SCAN, the Alexandria database).

abc: 4.9334 4.9334 3.9023
angles: 90.00 90.00 90.00
Closest atoms and distances in Å follow each position.
Space group P4/mmm (No. 123)
Symmetry-distinct sites (fractional):
Sc: 0.0000 0.0000 0.0000  2 N 1.95
Ta: 0.0000 0.5000 0.0000  2 Sc 2.47
N: 0.0000 0.0000 0.5000  2 Sc 1.95
Cl: 0.5000 0.5000 0.5000  8 Ta 3.15, 4 N 3.49

---

No. 3
# SeNCl2

A crystal of SeNCl2 relaxed with PBEsol (meta-GGA SCAN, the Alexandria database).

abc: 3.3030 3.3030 27.3256
angles: 90.00 90.00 120.00
Closest atoms and distances in Å follow each position.
Space group R-3m (No. 166, hexagonal axes)
Symmetry-distinct sites (fractional):
Se: 0.0000 0.0000 0.0000  2 Cl 2.26
N: 0.0000 0.0000 0.5000  6 Cl 2.98, 6 N 3.30
Cl: 0.0000 0.0000 0.0827  1 Se 2.26

---

No. 4
# SrSeN2Cl

A crystal of SrSeN2Cl relaxed with PBEsol (meta-GGA SCAN, the Alexandria database).

abc: 4.7918 4.7918 6.1334
angles: 90.00 90.00 90.00
Closest atoms and distances in Å follow each position.
Space group P4/mmm (No. 123)
Symmetry-distinct sites (fractional):
Sr: 0.0000 0.0000 0.0000  4 N 2.40
Se: 0.0000 0.0000 0.5000  2 Sr 3.07, 4 Cl 3.39
N: 0.0000 0.5000 0.0000  2 Sr 2.40
Cl: 0.5000 0.5000 0.5000  4 Se 3.39

---

No. 5
# Zr2SeNCl

A crystal of Zr2SeNCl relaxed with PBEsol (meta-GGA SCAN, the Alexandria database).

abc: 5.0094 5.0094 3.8861
angles: 90.00 90.00 90.00
Closest atoms and distances in Å follow each position.
Space group P4/mmm (No. 123)
Symmetry-distinct sites (fractional):
Zr: 0.0000 0.5000 0.0000  2 Se 2.50
Se: 0.0000 0.0000 0.0000  2 N 1.94
N: 0.0000 0.0000 0.5000  2 Se 1.94
Cl: 0.5000 0.5000 0.5000  8 Zr 3.17, 4 N 3.54

---

No. 6
# YSnN2Cl

A crystal of YSnN2Cl relaxed with PBEsol (meta-GGA SCAN, the Alexandria database).

abc: 4.0725 4.0725 6.0278
angles: 90.00 90.00 90.00
Closest atoms and distances in Å follow each position.
Space group P4/mmm (No. 123)
Symmetry-distinct sites (fractional):
Y: 0.0000 0.0000 0.0000  4 Cl 2.88, 2 Sn 3.01
Sn: 0.0000 0.0000 0.5000  4 N 2.04
N: 0.0000 0.5000 0.5000  2 Sn 2.04
Cl: 0.5000 0.5000 0.0000  4 Y 2.88

---

No. 7
# SrTeN2Cl

A crystal of SrTeN2Cl relaxed with PBEsol (meta-GGA SCAN, the Alexandria database).

abc: 4.7350 4.7350 6.7104
angles: 90.00 90.00 90.00
Closest atoms and distances in Å follow each position.
Space group P4/mmm (No. 123)
Symmetry-distinct sites (fractional):
Sr: 0.0000 0.0000 0.0000  4 N 2.37
Te: 0.0000 0.0000 0.5000  4 Cl 3.35, 2 Sr 3.36
N: 0.0000 0.5000 0.0000  2 Sr 2.37
Cl: 0.5000 0.5000 0.5000  4 Te 3.35

---

No. 8
# TaTe2NCl

A crystal of TaTe2NCl relaxed with PBEsol (meta-GGA SCAN, the Alexandria database).

abc: 5.3506 5.3506 3.3365
angles: 90.00 90.00 90.00
Closest atoms and distances in Å follow each position.
Space group P4/mmm (No. 123)
Symmetry-distinct sites (fractional):
Ta: 0.0000 0.0000 0.0000  8 Te 3.15, 2 Ta 3.34
Te: 0.0000 0.5000 0.5000  2 Cl 2.68
N: 0.5000 0.5000 0.0000  2 Cl 1.67
Cl: 0.5000 0.5000 0.5000  2 N 1.67

---

No. 9
# Tc2NCl

A crystal of Tc2NCl relaxed with PBEsol (meta-GGA SCAN, the Alexandria database).

abc: 5.6370 5.6370 5.6370
angles: 90.00 90.00 90.00
Closest atoms and distances in Å follow each position.
Space group Fm-3m (No. 225)
Symmetry-distinct sites (fractional):
Tc: 0.2500 0.2500 0.2500  4 Cl 2.44, 4 N 2.44
N: 0.0000 0.0000 0.0000  8 Tc 2.44
Cl: 0.0000 0.0000 0.5000  8 Tc 2.44

---

No. 10
# TcN3Cl

A crystal of TcN3Cl relaxed with PBEsol (meta-GGA SCAN, the Alexandria database).

abc: 3.8903 3.8903 3.8903
angles: 90.00 90.00 90.00
Closest atoms and distances in Å follow each position.
Space group Pm-3m (No. 221)
Symmetry-distinct sites (fractional):
Tc: 0.0000 0.0000 0.0000  6 N 1.95
N: 0.0000 0.0000 0.5000  2 Tc 1.95
Cl: 0.5000 0.5000 0.5000  12 N 2.75

---

No. 11
# TeNCl2

A crystal of TeNCl2 relaxed with PBEsol (meta-GGA SCAN, the Alexandria database).

abc: 3.3657 3.3657 25.5795
angles: 90.00 90.00 120.00
Closest atoms and distances in Å follow each position.
Space group R-3m (No. 166, hexagonal axes)
Symmetry-distinct sites (fractional):
Te: 0.0000 0.0000 0.0000  6 Cl 3.05, 6 Te 3.37
N: 0.0000 0.0000 0.5000  2 Cl 1.91
Cl: 0.0000 0.0000 0.4252  1 N 1.91

---

No. 12
# TeN3Cl

A crystal of TeN3Cl relaxed with PBEsol (meta-GGA SCAN, the Alexandria database).

abc: 3.8022 3.8022 3.8022
angles: 90.00 90.00 90.00
Closest atoms and distances in Å follow each position.
Space group Pm-3m (No. 221)
Symmetry-distinct sites (fractional):
Te: 0.0000 0.0000 0.0000  12 N 2.69
N: 0.0000 0.5000 0.5000  2 Cl 1.90
Cl: 0.5000 0.5000 0.5000  6 N 1.90

---

We obtain density of states at the Fermi level values of 3.6; 4.9; 1.0; 2.4; 3.3; 2.0; 2.6; 4.2; 3.1; 1.4; 1.5; 2.0 states/eV/f.u. for the records listed above, in that order.
We obtain formation energy without anion corrections values of -24.15; 9.28; 4.52; 6.07; 2.09; 2.58; 5.86; 8.43; 4.55; 5.44; 4.70; 12.98 eV/f.u. for the records listed above, in that order.